DFT (GGA-PBE) results for Ce2AlO after structural relaxation.

Unit cell a=3.2185 b=3.2185 c=9.6962 alpha=80.45 beta=80.45 gamma=60.00
Fractional positions:
Al (0.0000, 0.0000, 0.0000)
Ce (0.8892, 0.8892, 0.3325)
O (0.5000, 0.5000, 0.5000)
Ce (0.1108, 0.1108, 0.6675)

Values from the calculation:
ρ ... 6.29 Mg/m³
Formation energy (no corrections) ... -1.044 eV/atom


DFT (GGA-PBE) results for Ce5Al2O12 after structural relaxation.

Unit cell a=5.8505 b=6.9009 c=7.3641 alpha=105.32 beta=90.00 gamma=115.08
Fractional positions:
O (0.0937, 0.6892, 0.4240)
Ce (0.6848, 0.3697, 0.3460)
Ce (0.3152, 0.6303, 0.6540)
O (0.0982, 0.6749, 0.9165)
O (0.9992, 0.9983, 0.1813)
O (0.5015, 0.0030, 0.8261)
O (0.4234, 0.3251, 0.0835)
O (0.9018, 0.3251, 0.0835)
Ce (0.6912, 0.3825, 0.8436)
O (0.5766, 0.6749, 0.9165)
Al (0.7668, 0.0000, 0.0000)
O (0.9063, 0.3108, 0.5760)
Ce (0.3088, 0.6175, 0.1564)
O (0.0008, 0.0017, 0.8187)
O (0.4045, 0.3108, 0.5760)
Al (0.2332, 0.0000, 0.0000)
O (0.4985, 0.9970, 0.1739)
Ce (0.0000, 0.0000, 0.5000)
O (0.5955, 0.6892, 0.4240)

Values from the calculation:
ρ ... 6.10 Mg/m³
Formation energy (no corrections) ... -3.316 eV/atom


DFT (GGA-PBE) results for CeAlPO2 after structural relaxation.

Unit cell a=5.2235 b=5.4275 c=6.3018 alpha=115.51 beta=90.00 gamma=90.00
Fractional positions:
O (0.0000, 0.2354, 0.0000)
O (0.5000, 0.7646, 0.0000)
Al (0.2500, 0.0199, 0.0397)
O (0.0000, 0.7646, 0.0000)
O (0.5000, 0.2354, 0.0000)
P (0.2500, 0.2379, 0.4758)
Al (0.7500, 0.9801, 0.9603)
Ce (0.2500, 0.6338, 0.2677)
P (0.7500, 0.7621, 0.5242)
Ce (0.7500, 0.3661, 0.7323)

Values from the calculation:
ρ ... 4.74 Mg/m³
Formation energy (no corrections) ... -2.226 eV/atom